Record 1
# Pr3Tm2Te6, relaxed, DFT PBE
data_Pr3Tm2Te6
_chemical_formula_sum 'Pr9 Tm6 Te18'
_cell_length_a 4.4060
_cell_length_b 4.4060
_cell_length_c 66.9420
_cell_angle_alpha 90.00
_cell_angle_beta 90.00
_cell_angle_gamma 120.00
_space_group_name_H-M_alt 'R -3 m'
_space_group_IT_number 166
_space_group_name_Hall '-R 3 2"'
loop_
_atom_site_label
_atom_site_type_symbol
_atom_site_fract_x
_atom_site_fract_y
_atom_site_fract_z
Pr1 Pr 0.0000 0.0000 0.0000
Pr2 Pr 0.0000 0.0000 0.2764
Tm1 Tm 0.0000 0.0000 0.4490
Te1 Te 0.0000 0.0000 0.0871
Te2 Te 0.0000 0.0000 0.1947
Te3 Te 0.0000 0.0000 0.3620
# V: 34.10 Å³ per atom
# energy relative to the elements, uncorrected: -1.37 eV per atom

Record 2
# PrTmTe3, relaxed, DFT PBE
data_PrTmTe3
_chemical_formula_sum 'Pr4 Tm4 Te12'
_cell_length_a 4.3201
_cell_length_b 14.1933
_cell_length_c 10.7850
_cell_angle_alpha 90.00
_cell_angle_beta 90.00
_cell_angle_gamma 90.00
_space_group_name_H-M_alt 'C m c m'
_space_group_IT_number 63
_space_group_name_Hall '-C 2c 2'
loop_
_atom_site_label
_atom_site_type_symbol
_atom_site_fract_x
_atom_site_fract_y
_atom_site_fract_z
Pr1 Pr 0.0000 0.2497 0.2500
Tm1 Tm 0.0000 0.0000 0.0000
Te1 Te 0.0000 0.0867 0.7500
Te2 Te 0.0000 0.3545 0.5602
# V: 33.06 Å³ per atom
# energy relative to the elements, uncorrected: -1.41 eV per atom

Record 3
# Pr2Tm3Te6, relaxed, DFT PBE
data_Pr2Tm3Te6
_chemical_formula_sum 'Pr4 Tm6 Te12'
_cell_length_a 7.5872
_cell_length_b 13.0663
_cell_length_c 7.6287
_cell_angle_alpha 90.00
_cell_angle_beta 109.47
_cell_angle_gamma 90.00
_space_group_name_H-M_alt 'C 1 2/m 1'
_space_group_IT_number 12
_space_group_name_Hall '-C 2y'
loop_
_atom_site_label
_atom_site_type_symbol
_atom_site_fract_x
_atom_site_fract_y
_atom_site_fract_z
Pr1 Pr 0.0000 0.1635 0.0000
Tm1 Tm 0.0000 0.0000 0.5000
Tm2 Tm 0.0000 0.3282 0.5000
Te1 Te 0.2330 0.5000 0.7375
Te2 Te 0.2451 0.3398 0.2581
# V: 32.41 Å³ per atom
# energy relative to the elements, uncorrected: -1.39 eV per atom